Record 1
Computed, not measured: HfTiTc2Bi at its PBEsol-relaxed geometry at the SCAN level of DFT.

Cell: 4.6484 4.6484 5.3488 Å, 90.00 90.00 90.00°
Closest atoms and distances in Å follow each position.
Space group P4/mmm (No. 123)
Symmetry-distinct sites (fractional):
Hf1 0.0000 0.0000 0.0000 (multiplicity 1)  4 Tc 2.32
Ti1 0.5000 0.5000 0.5000 (multiplicity 1)  4 Bi 3.29, 8 Tc 3.54
Tc1 0.0000 0.5000 0.0000 (multiplicity 2)  2 Hf 2.32
Bi1 0.0000 0.0000 0.5000 (multiplicity 1)  2 Hf 2.67

Summary:
- Energy of formation from the pure elements: 1.51 eV per atom


Record 2
Computed, not measured: Hf2BiTe at its PBEsol-relaxed geometry at the SCAN level of DFT.

Cell: 7.0720 7.0720 7.0720 Å, 90.00 90.00 90.00°
Closest atoms and distances in Å follow each position.
Space group Fm-3m (No. 225)
Symmetry-distinct sites (fractional):
Hf1 0.2500 0.2500 0.2500 (multiplicity 8)  4 Te 3.06, 4 Bi 3.06
Bi1 0.0000 0.0000 0.0000 (multiplicity 4)  8 Hf 3.06
Te1 0.0000 0.0000 0.5000 (multiplicity 4)  8 Hf 3.06

Summary:
- Uncorrected formation energy: -1.15 eV/f.u.


Record 3
Computed, not measured: HfBiTe2 at its PBEsol-relaxed geometry at the SCAN level of DFT.

Cell: 3.7305 3.7305 29.7707 Å, 90.00 90.00 120.00°
Closest atoms and distances in Å follow each position.
Space group R-3m (No. 166, hexagonal axes)
Symmetry-distinct sites (fractional):
Hf1 0.0000 0.0000 0.0000 (multiplicity 3)  6 Te 2.84
Bi1 0.0000 0.0000 0.5000 (multiplicity 3)  2 Te 3.11
Te1 0.0000 0.0000 0.3954 (multiplicity 6)  3 Hf 2.84, 1 Bi 3.11

Summary:
- Uncorrected formation energy: -1.76 eV/f.u.


Record 4
Computed, not measured: Hf2TlBi at its PBEsol-relaxed geometry at the SCAN level of DFT.

Cell: 7.1006 7.1006 7.1006 Å, 90.00 90.00 90.00°
Closest atoms and distances in Å follow each position.
Space group Fm-3m (No. 225)
Symmetry-distinct sites (fractional):
Hf1 0.2500 0.2500 0.2500 (multiplicity 8)  4 Tl 3.07, 4 Bi 3.07
Tl1 0.0000 0.0000 0.0000 (multiplicity 4)  8 Hf 3.07
Bi1 0.0000 0.0000 0.5000 (multiplicity 4)  8 Hf 3.07

Summary:
- Energy of formation from the pure elements: 0.13 eV per atom


Record 5
Computed, not measured: YHfBiW2 at its PBEsol-relaxed geometry at the SCAN level of DFT.

Cell: 4.7808 4.7808 5.5071 Å, 90.00 90.00 90.00°
Closest atoms and distances in Å follow each position.
Space group P4/mmm (No. 123)
Symmetry-distinct sites (fractional):
Y1 0.0000 0.0000 0.0000 (multiplicity 1)  2 Hf 2.75
Hf1 0.0000 0.0000 0.5000 (multiplicity 1)  4 W 2.39
Bi1 0.5000 0.5000 0.0000 (multiplicity 1)  4 Y 3.38, 8 W 3.65
W1 0.0000 0.5000 0.5000 (multiplicity 2)  2 Hf 2.39

Summary:
- Energy of formation from the pure elements: 1.66 eV per atom


Record 6
Computed, not measured: YHfBi2 at its PBEsol-relaxed geometry at the SCAN level of DFT.

Cell: 6.8263 6.8263 13.1751 Å, 90.00 90.00 90.00°
Closest atoms and distances in Å follow each position.
Space group I-42d (No. 122)
Symmetry-distinct sites (fractional):
Y1 0.0000 0.0000 0.0000 (multiplicity 4)  4 Bi 3.03
Hf1 0.0000 0.0000 0.5000 (multiplicity 4)  4 Bi 2.82
Bi1 0.2246 0.2500 0.6250 (multiplicity 8)  2 Hf 2.82, 2 Y 3.03

Summary:
- Energy of formation from the pure elements: 0.08 eV per atom


The calculation returns the following total moment values, one per record and in order: 0.9 0.0 0.0 0.0 0.0 0.0 μB per formula unit.